YMn2Pt: relaxed, PBEsol.

```
YMn2Pt
1.0
3.137 0.000 0.000
0.000 3.137 0.000
0.000 0.000 6.681
Y Mn Pt
1 2 1
direct
0.000 0.000 0.000
0.000 0.000 0.483
0.500 0.500 0.309
0.500 0.500 0.708
```

Summary:
Distance to the lowest polymorph of the same formula   0 meV per atom
Crystal system   tetragonal
Energy of formation   -0.1345 eV/atom
M_tot   1.4 μB/f.u.

YMnPt2: relaxed, PBEsol.

```
YMnPt2
1.0
-1.979 1.979 4.341
1.979 -1.979 4.341
1.979 1.979 -4.341
Y Mn Pt
1 1 2
direct
0.000 0.000 0.000
0.750 0.250 0.500
0.250 0.750 0.500
0.500 0.500 0.000
```

Summary:
Crystal system   tetragonal
Energy of formation   -0.6119 eV/atom
M_tot   4.3 μB/f.u.

YMn2Pt: relaxed, PBEsol.

```
YMn2Pt
1.0
1.485 0.857 9.138
-1.485 0.857 9.138
0.000 -1.715 9.138
Y Mn Pt
1 2 1
direct
0.000 0.000 0.000
0.241 0.241 0.241
0.759 0.759 0.759
0.500 0.500 0.500
```

Summary:
Distance to the lowest polymorph of the same formula   572 meV per atom
Crystal system   trigonal
Energy of formation   0.4377 eV/atom
M_tot   7.6 μB/f.u.

YMnPt: relaxed, PBEsol.

```
YMnPt
1.0
4.131 0.000 0.000
-2.066 3.578 0.000
0.000 0.000 3.935
Y Mn Pt
1 1 1
direct
0.000 0.000 0.000
0.333 0.667 0.500
0.667 0.333 0.500
```

Summary:
Crystal system   hexagonal
Energy of formation   -0.4637 eV/atom
M_tot   2.4 μB/f.u.